Record 1
# Mn2GaBiSe

A relaxed Mn2GaBiSe crystal (PBE, Alexandria).

POSCAR file:
```
Mn2GaBiSe
1.0
5.3802 0.0000 0.0000
0.0000 5.3802 0.0000
0.0000 0.0000 6.5466
Mn Ga Bi Se
2 1 1 1
direct
0.0000 0.5000 0.0000
0.5000 0.0000 0.0000
0.0000 0.0000 0.5000
0.5000 0.5000 0.5000
0.5000 0.5000 0.0000
```

Calculated values
Its formation energy (no corrections) is 0.908 eV per atom. Its crystal system is tetragonal. The symmetry is P4/mmm, No. 123.

---

Record 2
# GaBiMo2

A relaxed GaBiMo2 crystal (PBE, Alexandria).

POSCAR file:
```
GaBiMo2
1.0
4.1272 0.0000 0.0000
0.0000 4.1272 0.0000
0.0000 0.0000 19.2574
Ga Bi Mo
4 4 8
direct
0.0000 0.0000 0.0000
0.0000 0.5000 0.2500
0.5000 0.0000 0.7500
0.5000 0.5000 0.5000
0.0000 0.0000 0.5000
0.0000 0.5000 0.7500
0.5000 0.0000 0.2500
0.5000 0.5000 0.0000
0.1767 0.2500 0.1250
0.2500 0.6767 0.3750
0.2500 0.8233 0.8750
0.3233 0.2500 0.6250
0.6767 0.7500 0.6250
0.7500 0.1767 0.8750
0.7500 0.3233 0.3750
0.8233 0.7500 0.1250
```

Calculated values
As for the energy above the most stable polymorph in this dataset: 0.0505 eV/atom. Its crystal system is tetragonal. The symmetry is I-42d, No. 122.

---

Record 3
# GaBiMo3

A relaxed GaBiMo3 crystal (PBE, Alexandria).

POSCAR file:
```
GaBiMo3
1.0
4.6847 0.0000 0.0000
0.0000 4.6847 0.0000
0.0000 0.0000 4.6847
Ga Bi Mo
1 1 3
direct
0.0000 0.0000 0.0000
0.5000 0.5000 0.5000
0.0000 0.0000 0.5000
0.0000 0.5000 0.0000
0.5000 0.0000 0.0000
```

Calculated values
As for the energy above the most stable polymorph in this dataset: 0.0000 eV/atom. Its crystal system is cubic. The symmetry is Pm-3m, No. 221.

---

Record 4
# GaBiMo2

A relaxed GaBiMo2 crystal (PBE, Alexandria).

POSCAR file:
```
GaBiMo2
1.0
6.5842 0.0000 0.0000
0.0000 6.5842 0.0000
0.0000 0.0000 6.5842
Ga Bi Mo
4 4 8
direct
0.0000 0.0000 0.0000
0.0000 0.5000 0.5000
0.5000 0.0000 0.5000
0.5000 0.5000 0.0000
0.0000 0.0000 0.5000
0.0000 0.5000 0.0000
0.5000 0.0000 0.0000
0.5000 0.5000 0.5000
0.2500 0.2500 0.2500
0.2500 0.2500 0.7500
0.2500 0.7500 0.2500
0.2500 0.7500 0.7500
0.7500 0.2500 0.2500
0.7500 0.2500 0.7500
0.7500 0.7500 0.2500
0.7500 0.7500 0.7500
```

Calculated values
As for the energy above the most stable polymorph in this dataset: 0.0000 eV/atom. Its crystal system is cubic. The symmetry is Fm-3m, No. 225.

---

Record 5
# GaBi2Mo

A relaxed GaBi2Mo crystal (PBE, Alexandria).

POSCAR file:
```
GaBi2Mo
1.0
6.5150 0.0000 0.0000
0.0000 6.5150 0.0000
0.0000 0.0000 12.8343
Ga Bi Mo
4 8 4
direct
0.0000 0.0000 0.0000
0.0000 0.5000 0.2500
0.5000 0.0000 0.7500
0.5000 0.5000 0.5000
0.2352 0.2500 0.6250
0.2500 0.7352 0.8750
0.2500 0.7648 0.3750
0.2648 0.2500 0.1250
0.7352 0.7500 0.1250
0.7500 0.2352 0.3750
0.7500 0.2648 0.8750
0.7648 0.7500 0.6250
0.0000 0.0000 0.5000
0.0000 0.5000 0.7500
0.5000 0.0000 0.2500
0.5000 0.5000 0.0000
```

Calculated values
The final energy is -4.630 eV per atom. Its crystal system is tetragonal. The symmetry is I-42d, No. 122.

---

Record 6
# Ga2BiMo

A relaxed Ga2BiMo crystal (PBE, Alexandria).

POSCAR file:
```
Ga2BiMo
1.0
7.8415 0.0000 0.0000
0.0000 7.8415 0.0000
0.0000 0.0000 5.6353
Ga Bi Mo
8 4 4
direct
0.2067 0.2500 0.1250
0.2500 0.7067 0.3750
0.2500 0.7933 0.8750
0.2933 0.2500 0.6250
0.7067 0.7500 0.6250
0.7500 0.2067 0.8750
0.7500 0.2933 0.3750
0.7933 0.7500 0.1250
0.0000 0.0000 0.5000
0.0000 0.5000 0.7500
0.5000 0.0000 0.2500
0.5000 0.5000 0.0000
0.0000 0.0000 0.0000
0.0000 0.5000 0.2500
0.5000 0.0000 0.7500
0.5000 0.5000 0.5000
```

Calculated values
The final energy is -4.602 eV per atom. Its crystal system is tetragonal. The symmetry is I-42d, No. 122.